A relaxed structure of Pd2WSeF, computed with GGA+U.

Lattice parameters (Å, degrees): 5.124 5.124 4.040 90.00 90.00 90.00
Space group P4/mmm (No. 123)
One atom of each set of equivalent atoms:
1 Pd 0.000 0.500 0.000 x2
2 W 0.000 0.000 0.000 x1
3 Se 0.500 0.500 0.500 x1
4 F 0.000 0.000 0.500 x1

Properties
The electronic total energy comes out at -4.392 eV/atom. Its total moment is 2.845 μB per formula unit.